Record 1
Entry from Alexandria: a relaxed structure of Nd2Ga3SbPd4 (PBE).

Output
- E_form (uncorrected): -793 meV per atom

Lattice parameters (Å, degrees): 4.346 4.346 10.724 90.00 90.00 90.00
Sites, in units of the cell vectors:
Nd 0.000 0.500 0.241
Nd 0.500 0.000 0.759
Ga 0.000 0.500 0.877
Ga 0.500 0.000 0.123
Ga 0.500 0.500 0.500
Sb 0.000 0.000 0.500
Pd 0.000 0.000 0.000
Pd 0.000 0.500 0.645
Pd 0.500 0.000 0.355
Pd 0.500 0.500 0.000



Record 2
Entry from Alexandria: a relaxed structure of Nd2ScGa3Pd4 (PBE).

Output
- ΔH_f (0 K): -0.812 eV per atom

Lattice parameters (Å, degrees): 4.203 4.203 11.345 90.00 90.00 90.00
Sites, in units of the cell vectors:
Nd 0.000 0.500 0.236
Nd 0.500 0.000 0.764
Sc 0.000 0.000 0.500
Ga 0.000 0.500 0.873
Ga 0.500 0.000 0.127
Ga 0.500 0.500 0.500
Pd 0.000 0.000 0.000
Pd 0.000 0.500 0.649
Pd 0.500 0.000 0.351
Pd 0.500 0.500 0.000



Record 3
Entry from Alexandria: a relaxed structure of Nd2ScGa4Pd3 (PBE).

Output
- ΔH_f (0 K): -0.743 eV per atom

Lattice parameters (Å, degrees): 4.186 4.186 11.590 90.00 90.00 90.00
Sites, in units of the cell vectors:
Nd 0.000 0.500 0.237
Nd 0.500 0.000 0.763
Sc 0.000 0.000 0.500
Ga 0.000 0.000 0.000
Ga 0.000 0.500 0.655
Ga 0.500 0.000 0.345
Ga 0.500 0.500 0.000
Pd 0.000 0.500 0.871
Pd 0.500 0.000 0.129
Pd 0.500 0.500 0.500



Record 4
Entry from Alexandria: a relaxed structure of NdScGa2Pd5 (PBE).

Output
- ΔH_f (0 K): -0.698 eV per atom

Lattice parameters (Å, degrees): 4.179 4.179 9.353 90.00 90.00 90.00
Sites, in units of the cell vectors:
Nd 0.000 0.000 0.000
Sc 0.000 0.000 0.500
Ga 0.500 0.500 0.371
Ga 0.500 0.500 0.629
Pd 0.000 0.500 0.230
Pd 0.000 0.500 0.770
Pd 0.500 0.000 0.230
Pd 0.500 0.000 0.770
Pd 0.500 0.500 0.000



no.,N(E_F) (states/eV per atom)
1,0.480
2,0.730
3,0.800
4,0.646